Density functional theory data (GGA-PBE) for a relaxed Ca2LaSc crystal.

Summary:
Final energy, eV/cell: -43.664
Formation enthalpy at 0 K, eV/atom: 0.177
Crystal system: trigonal
Energy above the most stable polymorph in this dataset, meV/atom: 94.4
Space group: No. 166

Lattice parameters (Å, degrees): 3.6484 3.6484 36.5276 90.00 90.00 120.00
Element x y z (fractional)
Ca1 0.0000 0.0000 0.2448
Ca2 0.0000 0.0000 0.7552
Ca3 0.3333 0.6667 0.4219
Ca4 0.3333 0.6667 0.9115
Ca5 0.6667 0.3333 0.0885
Ca6 0.6667 0.3333 0.5781
La1 0.0000 0.0000 0.0000
La2 0.3333 0.6667 0.6667
La3 0.6667 0.3333 0.3333
Sc1 0.0000 0.0000 0.5000
Sc2 0.3333 0.6667 0.1667
Sc3 0.6667 0.3333 0.8333